Here is a geometry-optimized BaCo2Bi2 structure from the Alexandria database. Energies are from PBE.

Cell: 6.793 6.793 6.793 Å, 140.40 140.40 57.24°
Atoms (fractional coordinates):
Ba 0.000 0.000 0.000
Co 0.250 0.750 0.500
Co 0.750 0.250 0.500
Bi 0.354 0.354 0.000
Bi 0.646 0.646 0.000

## Properties
ΔE_f, eV per atom: -0.083
Electronic total energy, eV/atom: -4.8627
Space group: I4/mmm (139)